(1)
DFT (GGA-PBE) results for a relaxed CaReAg2 crystal.

Computed properties:
The space group is Fm-3m. The formation energy comes out at 665 meV per atom. Its density is 9.21 Mg/m³. The value obtained for the total energy is -4.37 eV/atom. For the relative energy among the computed polymorphs, the calculation gives 191.9 meV/atom.

a = 4.8295 Å, b = 4.8295 Å, c = 4.8295 Å
α = 60.00°, β = 60.00°, γ = 60.00°
Closest atoms and distances in Å follow each position.
Fractional coordinates of all 4 atoms:
Re  0.5000  0.5000  0.5000  8 Ag 2.96
Ca  0.0000  0.0000  0.0000  8 Ag 2.96
Ag  0.2500  0.2500  0.2500  4 Re 2.96, 4 Ca 2.96
Ag  0.7500  0.7500  0.7500  4 Ca 2.96, 4 Re 2.96


(2)
DFT (GGA-PBE) results for a relaxed BeMo2Cl crystal.

Computed properties:
The space group is Pmmm. For the uncorrected formation energy, the calculation gives 0.74 eV per atom. Its density is 6.57 Mg/m³. The value obtained for the total energy is -6.07 eV/atom. For the relative energy among the computed polymorphs, the calculation gives 521.3 meV/atom.

a = 2.8162 Å, b = 4.8563 Å, c = 4.3700 Å
α = 90.00°, β = 90.00°, γ = 90.00°
Closest atoms and distances in Å follow each position.
Fractional coordinates of all 4 atoms:
Be  0.5000  0.0000  0.5000  4 Mo 2.60, 4 Cl 2.81, 2 Be 2.82
Mo  0.0000  0.0000  0.0000  4 Be 2.60, 6 Mo 2.81-2.82
Mo  0.5000  0.5000  0.0000  4 Cl 2.60, 6 Mo 2.81-2.82
Cl  0.0000  0.5000  0.5000  4 Mo 2.60, 4 Be 2.81, 2 Cl 2.82


(3)
DFT (GGA-PBE) results for a relaxed Ba4RhAu crystal.

Computed properties:
The space group is F-43m. The formation energy comes out at 685 meV per atom. Its density is 6.32 Mg/m³. The value obtained for the total energy is -2.37 eV/atom. For the relative energy among the computed polymorphs, the calculation gives 1054.6 meV/atom.

a = 6.8093 Å, b = 6.8093 Å, c = 6.8093 Å
α = 60.00°, β = 60.00°, γ = 60.00°
Closest atoms and distances in Å follow each position.
Fractional coordinates of all 6 atoms:
Ba  0.8743  0.3752  0.3752  6 Ba 3.40-3.41
Ba  0.3752  0.3752  0.8743  6 Ba 3.40-3.41
Ba  0.3752  0.8743  0.3752  6 Ba 3.40-3.41
Ba  0.3752  0.3752  0.3752  6 Ba 3.40-3.41
Rh  0.7500  0.7500  0.7500  12 Ba 3.99, 4 Au 4.17
Au  0.0000  0.0000  0.0000  12 Ba 3.99, 4 Rh 4.17


(4)
DFT (GGA-PBE) results for a relaxed La2ZrTeS crystal.

Computed properties:
The space group is P4/mmm. For the uncorrected formation energy, the calculation gives -0.14 eV per atom. Its density is 5.04 Mg/m³. The value obtained for the total energy is -5.28 eV/atom.

a = 5.7815 Å, b = 5.2109 Å, c = 5.7815 Å
α = 90.00°, β = 90.00°, γ = 90.00°
Closest atoms and distances in Å follow each position.
Fractional coordinates of all 5 atoms:
S  0.5000  0.5000  0.5000  8 La 3.89, 4 Te 4.09
Te  0.0000  0.5000  0.0000  2 Zr 2.61
Zr  0.0000  0.0000  0.0000  2 Te 2.61, 4 La 2.89
La  0.0000  0.0000  0.5000  2 Zr 2.89
La  0.5000  0.0000  0.0000  2 Zr 2.89